A plane-wave DFT calculation with PBE was carried out for an optimized crystal structure of LaSCl2.

a b c (Å): 4.5671 4.5671 10.3308
angles (deg): 77.23 77.23 90.00
Atoms (fractional coordinates):
S1 0.5000 0.5000 0.0000
S2 0.2500 0.7500 0.5000
Cl1 0.6486 0.1250 0.2500
Cl2 0.1014 0.6250 0.2500
Cl3 0.3750 0.3514 0.7500
Cl4 0.8750 0.8986 0.7500
La1 0.0000 0.0000 0.0000
La2 0.7500 0.2500 0.5000

Calculated values
Magnetic moment in Bohr magnetons per cell: 2.0
ΔE to the lowest computed polymorph in meV/atom: 0
Formation energy (no corrections) in kJ per mole of atoms: -136.9
Total energy in eV/atom: -4.606
DOS at the Fermi energy in states/eV/f.u.: 0.65